Material: DyErTm2Se6
Method: DFT, PBE-GGA
State: optimized geometry

Cell lengths 7.6440, 7.6440, 7.6440 Å; angles 55.64, 55.64, 55.64 degrees
Atoms (fractional coordinates):
Dy1 0.0000 0.0000 0.0000
Er1 0.4990 0.4990 0.4990
Tm1 0.3044 0.3044 0.3044
Tm2 0.8051 0.8051 0.8051
Se1 0.0930 0.7028 0.4076
Se2 0.2064 0.5923 0.9040
Se3 0.4076 0.0930 0.7028
Se4 0.5923 0.9040 0.2064
Se5 0.7028 0.4076 0.0930
Se6 0.9040 0.2064 0.5923

Properties
Magnetic moment: 0.000 μB per formula unit
Uncorrected formation energy: -1.8433 eV/atom
V: 284 Å³/cell
Crystal system: trigonal
SG: R3 (146)